[1]
## ZnCoCu3 (PBE)

Data for crystalline ZnCoCu3 at its relaxed geometry. Values from VASP.

Formation enthalpy at 0 K   22.0 kcal/mol of atoms
Size of the total moment   0.365 μB/atom
Raw total energy   -15.89 eV for the cell shown

Structure (Quantum ESPRESSO input):
```
&SYSTEM
  ibrav = 0, nat = 5, ntyp = 3
/
ATOMIC_SPECIES
Zn 65.41 Zn.upf
Co 58.93 Co.upf
Cu 63.55 Cu.upf
CELL_PARAMETERS angstrom
4.399 0.000 0.000
0.000 4.399 0.000
0.000 0.000 4.399
ATOMIC_POSITIONS angstrom
Zn 2.200 2.200 2.200
Co 0.000 0.000 0.000
Cu 0.000 2.200 0.000
Cu 0.000 0.000 2.200
Cu 2.200 0.000 0.000
```

[2]
## Zn2CoCu (PBE)

Data for crystalline Zn2CoCu at its relaxed geometry. Values from VASP.

Formation enthalpy at 0 K   -0.9 kcal/mol of atoms
Size of the total moment   0.177 μB/atom
Raw total energy   -13.91 eV for the cell shown

Structure (Quantum ESPRESSO input):
```
&SYSTEM
  ibrav = 0, nat = 4, ntyp = 3
/
ATOMIC_SPECIES
Zn 65.41 Zn.upf
Co 58.93 Co.upf
Cu 63.55 Cu.upf
CELL_PARAMETERS angstrom
-4.359 -0.378 -0.748
1.465 -4.062 1.026
-0.481 0.474 2.563
ATOMIC_POSITIONS angstrom
Zn 0.000 0.000 0.000
Zn -1.447 -2.220 0.139
Co -2.420 0.048 0.907
Cu 0.492 -1.794 1.794
```

[3]
## Zn5CoCu2 (PBE)

Data for crystalline Zn5CoCu2 at its relaxed geometry. Values from VASP.

Formation enthalpy at 0 K   -1.6 kcal/mol of atoms
Size of the total moment   0.000 μB/atom
Raw total energy   -22.22 eV for the cell shown

Structure (Quantum ESPRESSO input):
```
&SYSTEM
  ibrav = 0, nat = 8, ntyp = 3
/
ATOMIC_SPECIES
Zn 65.41 Zn.upf
Co 58.93 Co.upf
Cu 63.55 Cu.upf
CELL_PARAMETERS angstrom
-2.239 -0.776 -2.986
2.820 0.982 -2.370
2.063 -6.874 2.673
ATOMIC_POSITIONS angstrom
Zn 1.999 -1.204 -1.186
Zn -0.531 -2.083 -1.494
Zn 3.174 -4.586 -1.188
Zn 0.645 -5.465 -1.497
Zn 0.000 0.000 0.000
Co 0.291 0.103 -2.678
Cu 1.197 -3.444 -0.002
Cu 1.447 -3.224 -2.680
```

[4]
## ZrZnCoCu (PBE)

Data for crystalline ZrZnCoCu at its relaxed geometry. Values from VASP.

Formation enthalpy at 0 K   -3.7 kcal/mol of atoms
Size of the total moment   0.089 μB/atom
Raw total energy   -21.66 eV for the cell shown

Structure (Quantum ESPRESSO input):
```
&SYSTEM
  ibrav = 0, nat = 4, ntyp = 4
/
ATOMIC_SPECIES
Zn 65.41 Zn.upf
Co 58.93 Co.upf
Cu 63.55 Cu.upf
Zr 91.22 Zr.upf
CELL_PARAMETERS angstrom
4.357 0.000 0.000
2.178 3.773 0.000
2.178 1.258 3.557
ATOMIC_POSITIONS angstrom
Zn 2.178 1.258 0.889
Co 4.357 2.516 1.779
Cu 0.000 0.000 0.000
Zr 6.535 3.773 2.668
```